NaIrRu (PBE-GGA, optimized geometry); relative energy among the computed polymorphs = 3 meV/atom; SG = C2/m; ΔE_f = 97.4 kJ/mol of formula units; energy = -6.15 eV per atom
1.0
6.923 0.000 -0.002
3.352 2.103 -3.725
-3.352 2.103 3.725
Ir Na Ru
2 2 2
Direct
0.260 0.084 0.916
0.740 0.916 0.084
0.353 0.745 0.255
0.647 0.255 0.745
0.937 0.411 0.589
0.063 0.589 0.411